(1)
# BeNi2Ru (PBE, optimized geometry)
# ΔH_f (0 K) = -0.031 eV/atom
data_BeNi2Ru
_chemical_formula_sum 'Be1 Ni2 Ru1'
_cell_length_a 2.5427
_cell_length_b 3.7326
_cell_length_c 4.8348
_cell_angle_alpha 90.00
_cell_angle_beta 105.18
_cell_angle_gamma 90.00
_space_group_name_H-M_alt 'P 1 m 1'
_space_group_IT_number 6
_space_group_name_Hall 'P -2y'
loop_
_atom_site_label
_atom_site_fract_x
_atom_site_fract_y
_atom_site_fract_z
_atom_site_occupancy
Be1 0.0000 0.0000 0.0000 1
Ni1 0.1302 0.5000 0.2534 1
Ni2 0.7483 0.0000 0.4904 1
Ru1 0.3932 0.5000 0.7803 1

***

(2)
# Ac3Ti5Se12 (PBE, optimized geometry)
# formation energy (no corrections) = -1361 meV/atom
data_Ac3Ti5Se12
_chemical_formula_sum 'Ac24 Ti40 Se96'
_cell_length_a 16.4028
_cell_length_b 16.4028
_cell_length_c 16.4028
_cell_angle_alpha 90.00
_cell_angle_beta 90.00
_cell_angle_gamma 90.00
_space_group_name_H-M_alt 'I a -3 d'
_space_group_IT_number 230
_space_group_name_Hall '-I 4bd 2c 3'
loop_
_atom_site_label
_atom_site_fract_x
_atom_site_fract_y
_atom_site_fract_z
_atom_site_occupancy
Ac1 0.0000 0.2500 0.1250 1
Ti1 0.0000 0.0000 0.0000 1
Ti2 0.0000 0.2500 0.3750 1
Se1 0.0322 0.0557 0.6477 1

***

(3)
# ThAlZn3Ag (PBE, optimized geometry)
# ΔH_f (0 K) = 0.036 eV/atom
data_ThAlZn3Ag
_chemical_formula_sum 'Th4 Al4 Zn12 Ag4'
_cell_length_a 6.1220
_cell_length_b 13.0015
_cell_length_c 6.0595
_cell_angle_alpha 90.00
_cell_angle_beta 90.00
_cell_angle_gamma 90.00
_space_group_name_H-M_alt 'C m c m'
_space_group_IT_number 63
_space_group_name_Hall '-C 2c 2'
loop_
_atom_site_label
_atom_site_fract_x
_atom_site_fract_y
_atom_site_fract_z
_atom_site_occupancy
Th1 0.0000 0.1980 0.2500 1
Al1 0.0000 0.4214 0.2500 1
Zn1 0.0000 0.3738 0.7500 1
Zn2 0.2011 0.0000 0.0000 1
Ag1 0.0000 0.1646 0.7500 1

***

(4)
# Mg2AgBr (PBE, optimized geometry)
# formation energy (no corrections) = -357 meV/atom
data_Mg2AgBr
_chemical_formula_sum 'Mg2 Ag1 Br1'
_cell_length_a 3.4085
_cell_length_b 3.4085
_cell_length_c 7.5788
_cell_angle_alpha 90.00
_cell_angle_beta 90.00
_cell_angle_gamma 90.00
_space_group_name_H-M_alt 'P 4/m m m'
_space_group_IT_number 123
_space_group_name_Hall '-P 4 2'
loop_
_atom_site_label
_atom_site_fract_x
_atom_site_fract_y
_atom_site_fract_z
_atom_site_occupancy
Mg1 0.0000 0.0000 0.2119 1
Ag1 0.5000 0.5000 0.0000 1
Br1 0.5000 0.5000 0.5000 1